Entry 1:
Below is a geometry-optimized AcY2Ho7 structure, with properties calculated at the PBE-GGA level.

Cell: 9.1968 9.1968 5.7107 Å, 90.00 90.00 123.61°
Fractional positions:
Ac (0.0000, 0.0000, 0.0000)
Y (0.2955, 0.7045, 0.5000)
Y (0.7045, 0.2955, 0.5000)
Ho (0.0611, 0.2922, 0.5000)
Ho (0.2211, 0.7789, 0.0000)
Ho (0.2922, 0.0611, 0.5000)
Ho (0.5000, 0.5000, 0.5000)
Ho (0.7078, 0.9389, 0.5000)
Ho (0.7789, 0.2211, 0.0000)
Ho (0.9389, 0.7078, 0.5000)

Properties
Energy of formation from the pure elements = 700 meV per atom
Energy above the most stable polymorph in this dataset = 662 meV per atom
Space-group type = Cmmm (65)

---

Entry 2:
Below is a geometry-optimized AcYHo2 structure, with properties calculated at the PBE-GGA level.

Cell: 11.9310 11.9310 11.9310 Å, 17.76 17.76 17.76°
Fractional positions:
Ac (0.0000, 0.0000, 0.0000)
Y (0.5000, 0.5000, 0.5000)
Ho (0.2471, 0.2471, 0.2471)
Ho (0.7529, 0.7529, 0.7529)

Properties
Energy of formation from the pure elements = 61 meV per atom
Energy above the most stable polymorph in this dataset = 0 meV per atom
Space-group type = R-3m (166)

---

Entry 3:
Below is a geometry-optimized Ac3Y6Ho structure, with properties calculated at the PBE-GGA level.

Cell: 7.1973 7.1973 7.1973 Å, 89.03 89.03 89.03°
Fractional positions:
Ac (0.0000, 0.0000, 0.0000)
Ac (0.2573, 0.2573, 0.2573)
Ac (0.7427, 0.7427, 0.7427)
Y (0.1003, 0.7487, 0.4219)
Y (0.2513, 0.5781, 0.8997)
Y (0.4219, 0.1003, 0.7487)
Y (0.5781, 0.8997, 0.2513)
Y (0.7487, 0.4219, 0.1003)
Y (0.8997, 0.2513, 0.5781)
Ho (0.5000, 0.5000, 0.5000)

Properties
Energy of formation from the pure elements = 396 meV per atom
Space-group type = R-3 (148)

---

Entry 4:
Below is a geometry-optimized AcY2Ho structure, with properties calculated at the PBE-GGA level.

Cell: 6.9135 6.9135 6.9135 Å, 148.35 64.65 125.23°
Fractional positions:
Ac (0.0000, 0.0000, 0.0000)
Y (0.1066, 0.3506, 0.7560)
Y (0.5946, 0.3506, 0.2440)
Ho (0.5090, 0.0090, 0.5000)

Properties
Energy of formation from the pure elements = 46 meV per atom
Energy above the most stable polymorph in this dataset = 0 meV per atom
Space-group type = Imm2 (44)

---

Entry 5:
Below is a geometry-optimized AcYHo structure, with properties calculated at the PBE-GGA level.

Cell: 8.1437 8.1437 8.1437 Å, 153.50 153.50 37.82°
Fractional positions:
Ac (0.0000, 0.0000, 0.0000)
Y (0.3259, 0.3259, 0.0000)
Ho (0.6715, 0.6715, 0.0000)

Properties
Energy of formation from the pure elements = 61 meV per atom
Energy above the most stable polymorph in this dataset = 0 meV per atom
Space-group type = I4mm (107)

---

Entry 6:
Below is a geometry-optimized AcY12Ho3 structure, with properties calculated at the PBE-GGA level.

Cell: 5.0728 5.0728 20.3378 Å, 90.00 90.00 90.00°
Fractional positions:
Ac (0.0000, 0.0000, 0.0000)
Y (0.0000, 0.5000, 0.1314)
Y (0.0000, 0.5000, 0.3771)
Y (0.0000, 0.5000, 0.6229)
Y (0.0000, 0.5000, 0.8686)
Y (0.5000, 0.0000, 0.1314)
Y (0.5000, 0.0000, 0.3771)
Y (0.5000, 0.0000, 0.6229)
Y (0.5000, 0.0000, 0.8686)
Y (0.5000, 0.5000, 0.0000)
Y (0.5000, 0.5000, 0.2547)
Y (0.5000, 0.5000, 0.5000)
Y (0.5000, 0.5000, 0.7453)
Ho (0.0000, 0.0000, 0.2534)
Ho (0.0000, 0.0000, 0.5000)
Ho (0.0000, 0.0000, 0.7466)

Properties
Energy of formation from the pure elements = 34 meV per atom
Space-group type = P4/mmm (123)

---

Entry 7:
Below is a geometry-optimized Ac5YHo structure, with properties calculated at the PBE-GGA level.

Cell: 9.8709 9.8709 9.9606 Å, 94.95 94.95 140.59°
Fractional positions:
Ac (0.0182, 0.3865, 0.6459)
Ac (0.1347, 0.8653, 0.7500)
Ac (0.2483, 0.5356, 0.0359)
Ac (0.3865, 0.0182, 0.1459)
Ac (0.4644, 0.7517, 0.4641)
Ac (0.5356, 0.2483, 0.5359)
Ac (0.6135, 0.9818, 0.8541)
Ac (0.7517, 0.4644, 0.9641)
Ac (0.8653, 0.1347, 0.2500)
Ac (0.9818, 0.6135, 0.3541)
Y (0.0000, 0.0000, 0.0000)
Y (0.0000, 0.0000, 0.5000)
Ho (0.4850, 0.5150, 0.7500)
Ho (0.5150, 0.4850, 0.2500)

Properties
Energy of formation from the pure elements = 220 meV per atom
Space-group type = C2/c (15)

---

Entry 8:
Below is a geometry-optimized Ac4Y5Ho structure, with properties calculated at the PBE-GGA level.

Cell: 3.8145 3.8145 25.2360 Å, 90.00 90.00 90.00°
Fractional positions:
Ac (0.0000, 0.0000, 0.1020)
Ac (0.0000, 0.0000, 0.3061)
Ac (0.0000, 0.0000, 0.6939)
Ac (0.0000, 0.0000, 0.8980)
Y (0.5000, 0.5000, 0.0000)
Y (0.5000, 0.5000, 0.2044)
Y (0.5000, 0.5000, 0.4097)
Y (0.5000, 0.5000, 0.5903)
Y (0.5000, 0.5000, 0.7956)
Ho (0.0000, 0.0000, 0.5000)

Properties
Energy of formation from the pure elements = 53 meV per atom
Space-group type = P4/mmm (123)

---

Entry 9:
Below is a geometry-optimized AcYHo6 structure, with properties calculated at the PBE-GGA level.

Cell: 5.9602 5.9602 8.8873 Å, 100.41 100.41 71.44°
Fractional positions:
Ac (0.0000, 0.0000, 0.0000)
Y (0.5000, 0.5000, 0.5000)
Ho (0.0421, 0.5193, 0.7007)
Ho (0.3770, 0.3770, 0.0799)
Ho (0.4807, 0.9579, 0.2993)
Ho (0.5193, 0.0421, 0.7007)
Ho (0.6230, 0.6230, 0.9201)
Ho (0.9579, 0.4807, 0.2993)

Properties
Energy of formation from the pure elements = 409 meV per atom
Energy above the most stable polymorph in this dataset = 361 meV per atom
Space-group type = C2/m (12)

---

Entry 10:
Below is a geometry-optimized Ac2Y6Ho5 structure, with properties calculated at the PBE-GGA level.

Cell: 11.9691 20.3609 3.6477 Å, 90.00 90.00 90.00°
Fractional positions:
Ac (0.1585, 0.2208, 0.0000)
Ac (0.3415, 0.7208, 0.0000)
Ac (0.6585, 0.2792, 0.0000)
Ac (0.8415, 0.7792, 0.0000)
Y (0.0582, 0.9242, 0.0000)
Y (0.0782, 0.6367, 0.0000)
Y (0.1810, 0.3821, 0.5000)
Y (0.3190, 0.8821, 0.5000)
Y (0.4218, 0.1367, 0.0000)
Y (0.4418, 0.4242, 0.0000)
Y (0.5582, 0.5758, 0.0000)
Y (0.5782, 0.8633, 0.0000)
Y (0.6810, 0.1179, 0.5000)
Y (0.8190, 0.6179, 0.5000)
Y (0.9218, 0.3633, 0.0000)
Y (0.9418, 0.0758, 0.0000)
Ho (0.0000, 0.5000, 0.5000)
Ho (0.1028, 0.7814, 0.5000)
Ho (0.2004, 0.0511, 0.5000)
Ho (0.2996, 0.5511, 0.5000)
Ho (0.3972, 0.2814, 0.5000)
Ho (0.5000, 0.0000, 0.5000)
Ho (0.6028, 0.7186, 0.5000)
Ho (0.7004, 0.4489, 0.5000)
Ho (0.7996, 0.9489, 0.5000)
Ho (0.8972, 0.2186, 0.5000)

Properties
Energy of formation from the pure elements = 119 meV per atom
Space-group type = Pbam (55)

---

Entry 11:
Below is a geometry-optimized Ac3YHo structure, with properties calculated at the PBE-GGA level.

Cell: 6.5274 9.4012 13.2711 Å, 90.00 90.00 90.00°
Fractional positions:
Ac (0.0891, 0.1730, 0.0743)
Ac (0.0891, 0.3270, 0.4257)
Ac (0.1395, 0.2500, 0.7500)
Ac (0.3605, 0.7500, 0.7500)
Ac (0.4109, 0.6730, 0.4257)
Ac (0.4109, 0.8270, 0.0743)
Ac (0.5891, 0.1730, 0.9257)
Ac (0.5891, 0.3270, 0.5743)
Ac (0.6395, 0.2500, 0.2500)
Ac (0.8605, 0.7500, 0.2500)
Ac (0.9109, 0.6730, 0.5743)
Ac (0.9109, 0.8270, 0.9257)
Y (0.2500, 0.0000, 0.5570)
Y (0.2500, 0.5000, 0.9430)
Y (0.7500, 0.0000, 0.4430)
Y (0.7500, 0.5000, 0.0570)
Ho (0.2500, 0.0000, 0.3058)
Ho (0.2500, 0.5000, 0.1942)
Ho (0.7500, 0.0000, 0.6942)
Ho (0.7500, 0.5000, 0.8058)

Properties
Energy of formation from the pure elements = 188 meV per atom
Space-group type = Pnna (52)

---

Entry 12:
Below is a geometry-optimized Ac4Y3Ho structure, with properties calculated at the PBE-GGA level.

Cell: 5.4057 10.8121 10.4716 Å, 90.00 90.00 90.00°
Fractional positions:
Ac (0.2500, 0.9996, 0.1369)
Ac (0.2500, 0.2500, 0.8622)
Ac (0.2500, 0.5004, 0.1369)
Ac (0.2500, 0.7500, 0.8640)
Ac (0.7500, 0.0004, 0.8631)
Ac (0.7500, 0.2500, 0.1360)
Ac (0.7500, 0.4996, 0.8631)
Ac (0.7500, 0.7500, 0.1378)
Y (0.2500, 0.9995, 0.6094)
Y (0.2500, 0.2500, 0.3913)
Y (0.2500, 0.5005, 0.6094)
Y (0.7500, 0.0005, 0.3906)
Y (0.7500, 0.4995, 0.3906)
Y (0.7500, 0.7500, 0.6087)
Ho (0.2500, 0.7500, 0.3902)
Ho (0.7500, 0.2500, 0.6098)

Properties
Energy of formation from the pure elements = 60 meV per atom
Space-group type = Pmmn (59)

---

no.,final energy (eV/atom),M_tot (μB/cell)
1,-4.208,0.00
2,-4.871,0.00
3,-5.173,0.00
4,-5.358,0.00
5,-4.989,0.00
6,-5.929,0.00
7,-4.292,0.00
8,-5.280,0.00
9,-4.346,0.00
10,-5.257,0.00
11,-4.485,0.00
12,-4.990,0.00